# PmY8In2

Crystalline PmY8In2 at its relaxed geometry (PBE-GGA, Alexandria).

abc: 8.758 8.758 5.710
angles: 102.14 102.14 118.90
Positions (direct):
Pm (0.000, 0.000, 0.000)
Y (0.093, 0.324, 0.621)
Y (0.220, 0.780, 0.000)
Y (0.324, 0.093, 0.621)
Y (0.406, 0.406, 0.205)
Y (0.594, 0.594, 0.795)
Y (0.676, 0.907, 0.379)
Y (0.780, 0.220, 0.000)
Y (0.907, 0.676, 0.379)
In (0.307, 0.693, 0.500)
In (0.693, 0.307, 0.500)

## Properties
calculated volume: 349 Å³/f.u.
electronic total energy: -62.6 eV/cell
D(E_F): 1.426 states/eV/atom
M_tot: 0.0 μB per cell
calculated formation energy: -0.058 eV per atom